1.
A geometry-optimized TbSm4Dy15 structure, computed with PBE.

Results
E, Ry/atom: -0.33877
Symmetry: P4/mmm, No. 123

abc: 5.036 5.036 25.144
angles: 90.00 90.00 90.00
Fractional positions:
Dy 0.000 0.500 0.901
Tb 0.000 0.000 0.000
Sm 0.000 0.000 0.800
Dy 0.000 0.500 0.300
Dy 0.500 0.500 0.000
Dy 0.000 0.500 0.700
Dy 0.500 0.500 0.199
Sm 0.000 0.000 0.200
Sm 0.000 0.000 0.400
Dy 0.500 0.500 0.801
Sm 0.000 0.000 0.600
Dy 0.500 0.000 0.099
Dy 0.500 0.000 0.500
Dy 0.500 0.500 0.600
Dy 0.000 0.500 0.099
Dy 0.500 0.000 0.901
Dy 0.000 0.500 0.500
Dy 0.500 0.000 0.300
Dy 0.500 0.000 0.700
Dy 0.500 0.500 0.400


2.
A geometry-optimized Y6Bi2Te3Pb structure, computed with PBE.

Results
Symmetry: C2/m, No. 12
E_form (uncorrected), eV per atom: -1.08

abc: 4.438 8.841 9.896
angles: 102.64 102.96 90.00
Fractional positions:
Y 0.000 0.242 0.000
Y 0.663 0.083 0.326
Te 0.832 0.167 0.663
Bi 0.833 0.666 0.666
Bi 0.167 0.334 0.334
Te 0.500 0.500 0.000
Y 0.000 0.758 0.000
Y 0.667 0.582 0.334
Te 0.168 0.833 0.337
Y 0.337 0.917 0.674
Pb 0.500 0.000 0.000
Y 0.333 0.418 0.666


3.
A geometry-optimized TlAgPbF4 structure, computed with PBE.

Results
Symmetry: P2_1/m, No. 11
E_form (uncorrected), eV per atom: -1.77

abc: 6.273 5.840 8.647
angles: 90.00 121.93 90.00
Fractional positions:
F 0.616 0.250 0.839
Ag 0.044 0.750 0.178
F 0.132 0.996 0.702
F 0.868 0.496 0.298
Tl 0.529 0.750 0.867
F 0.384 0.750 0.161
F 0.132 0.504 0.702
Ag 0.956 0.250 0.822
F 0.868 0.004 0.298
F 0.406 0.750 0.539
F 0.594 0.250 0.461
Tl 0.471 0.250 0.133
Pb 0.755 0.750 0.472
Pb 0.245 0.250 0.528


4.
A geometry-optimized TbThHg5 structure, computed with PBE.

Results
E, Ry/atom: -0.15593
Symmetry: P4/mmm, No. 123

abc: 5.086 5.086 7.277
angles: 90.00 90.00 90.00
Fractional positions:
Hg 0.500 0.000 0.772
Hg 0.500 0.000 0.228
Hg 0.500 0.500 0.500
Tb 0.500 0.500 0.000
Th 0.000 0.000 0.500
Hg 0.000 0.500 0.228
Hg 0.000 0.500 0.772


5.
A geometry-optimized La2AlPb structure, computed with PBE.

Results
E, Ry/atom: -0.31810
Symmetry: F-43m, No. 216

abc: 5.488 5.488 5.488
angles: 60.00 60.00 60.00
Fractional positions:
La 0.250 0.250 0.250
Pb 0.750 0.750 0.750
La 0.000 0.000 0.000
Al 0.500 0.500 0.500


6.
A geometry-optimized Ta2BeFe structure, computed with PBE.

Results
E, Ry/atom: -0.65807
Symmetry: Imm2, No. 44

abc: 5.191 5.191 4.246
angles: 65.89 65.89 33.00
Fractional positions:
Be 0.464 0.464 0.536
Ta 0.021 0.021 0.979
Fe 0.761 0.761 0.739
Ta 0.253 0.253 0.247


In g/cm3, the theoretical density values for the records above are, in order, 8.33, 6.94, 7.36, 12.30, 7.28, 12.57.